(1)
Material: Tm5PaS6
Method: DFT, PBE
State: relaxed

Cell: 6.669 6.665 6.676 Å, 60.06 80.33 70.34°
Element x y z (fractional)
S 0.748 0.084 0.337
S 0.252 0.579 0.337
S 0.255 0.252 0.000
S 0.745 0.748 0.000
S 0.748 0.421 0.663
S 0.252 0.916 0.663
Tm 0.500 0.169 0.663
Tm 0.000 0.334 0.331
Tm 0.500 0.500 0.000
Tm 0.000 0.666 0.669
Tm 0.500 0.831 0.337
Pa 0.000 0.000 0.000

Values from the calculation:
size of the total moment: 0.00 μB per formula unit
symmetry: C2/m, No. 12
formation energy from raw total energies: -1855 meV/atom
D(E_F): 0.6683 states/eV/atom

(2)
Material: Tm3PaS6
Method: DFT, PBE
State: relaxed

Cell: 3.867 10.916 11.154 Å, 108.11 90.00 90.00°
Last column: magnetic moment on the atom in μB.
Element x y z (fractional)
Tm 0.750 0.432 0.834  0.03
Tm 0.250 0.568 0.166  0.03
Tm 0.750 0.679 0.501  0.01
Tm 0.250 0.321 0.499  0.01
Tm 0.750 0.159 0.081  0.02
Tm 0.250 0.841 0.919  0.02
Pa 0.750 0.048 0.695  1.15
Pa 0.250 0.952 0.305  1.15
S 0.750 0.480 0.615  0.00
S 0.250 0.520 0.385  0.00
S 0.750 0.918 0.098  -0.02
S 0.250 0.082 0.902  -0.02
S 0.750 0.397 0.065  0.00
S 0.250 0.603 0.935  0.00
S 0.750 0.744 0.274  -0.02
S 0.250 0.256 0.726  -0.02
S 0.750 0.115 0.464  -0.03
S 0.250 0.885 0.536  -0.03
S 0.750 0.808 0.749  -0.01
S 0.250 0.192 0.251  -0.01

Values from the calculation:
size of the total moment: 1.38 μB per formula unit
symmetry: P2_1/m, No. 11
formation energy from raw total energies: -1947 meV/atom
D(E_F): 0.5353 states/eV/atom

(3)
Material: Tm2PaS5
Method: DFT, PBE
State: relaxed

Cell: 7.322 7.831 11.762 Å, 90.00 90.00 90.00°
Last column: magnetic moment on the atom in μB.
Element x y z (fractional)
Tm 0.486 0.497 0.819  0.04
Tm 0.514 0.503 0.181  0.04
Tm 0.986 0.503 0.681  0.04
Tm 0.514 0.997 0.181  0.04
Tm 0.014 0.497 0.319  0.04
Tm 0.486 0.003 0.819  0.04
Tm 0.014 0.003 0.319  0.04
Tm 0.986 0.997 0.681  0.04
Pa 0.423 0.250 0.507  0.74
Pa 0.577 0.750 0.493  0.74
Pa 0.923 0.750 0.993  0.74
Pa 0.077 0.250 0.007  0.74
S 0.039 0.250 0.498  -0.01
S 0.961 0.750 0.502  -0.01
S 0.539 0.750 0.002  -0.01
S 0.461 0.250 0.998  -0.01
S 0.338 0.956 0.605  -0.02
S 0.662 0.044 0.395  -0.02
S 0.838 0.044 0.895  -0.02
S 0.662 0.456 0.395  -0.02
S 0.162 0.956 0.105  -0.02
S 0.338 0.544 0.605  -0.02
S 0.162 0.544 0.105  -0.02
S 0.838 0.456 0.895  -0.02
S 0.204 0.250 0.782  -0.01
S 0.796 0.750 0.218  -0.01
S 0.704 0.750 0.718  -0.01
S 0.296 0.250 0.282  -0.01
S 0.679 0.250 0.683  -0.01
S 0.321 0.750 0.317  -0.01
S 0.179 0.750 0.817  -0.01
S 0.821 0.250 0.183  -0.01

Values from the calculation:
size of the total moment: 0.88 μB per formula unit
symmetry: Pnma, No. 62
formation energy from raw total energies: -1838 meV/atom
D(E_F): 0.6704 states/eV/atom

(4)
Material: TmPa5S6
Method: DFT, PBE
State: relaxed

Cell: 6.744 6.744 6.856 Å, 99.60 99.60 121.87°
Element x y z (fractional)
S 0.411 0.083 0.246
S 0.917 0.589 0.754
S 0.247 0.247 0.754
S 0.753 0.753 0.246
S 0.083 0.411 0.246
S 0.589 0.917 0.754
Tm 0.000 0.000 0.000
Pa 0.833 0.167 0.500
Pa 0.668 0.332 0.000
Pa 0.500 0.500 0.500
Pa 0.332 0.668 0.000
Pa 0.167 0.833 0.500

Values from the calculation:
size of the total moment: 0.00 μB per formula unit
symmetry: C2/m, No. 12
formation energy from raw total energies: -1649 meV/atom
D(E_F): 1.4775 states/eV/atom

(5)
Material: Tm2Pa3S8
Method: DFT, PBE
State: relaxed

Cell: 6.456 7.798 7.990 Å, 119.21 105.66 90.00°
Last column: magnetic moment on the atom in μB.
Element x y z (fractional)
Tm 0.335 0.258 0.517  0.06
Tm 0.665 0.742 0.483  0.06
Pa 0.500 0.000 0.000  1.29
Pa 0.000 0.245 0.000  1.03
Pa 0.000 0.755 0.000  1.03
S 0.893 0.607 0.214  -0.02
S 0.107 0.393 0.786  -0.02
S 0.927 0.129 0.258  -0.03
S 0.073 0.871 0.742  -0.03
S 0.581 0.632 0.742  -0.02
S 0.581 0.110 0.742  -0.02
S 0.419 0.890 0.258  -0.02
S 0.419 0.368 0.258  -0.02

Values from the calculation:
size of the total moment: 4.32 μB per formula unit
symmetry: C2/m, No. 12
formation energy from raw total energies: -1657 meV/atom
D(E_F): 0.9723 states/eV/atom

(6)
Material: Tm2PaS6
Method: DFT, PBE
State: relaxed

Cell: 6.304 6.304 12.059 Å, 90.00 90.00 90.00°
Element x y z (fractional)
Tm 0.000 0.000 0.334
Tm 0.500 0.500 0.834
Tm 0.500 0.500 0.166
Tm 0.000 0.000 0.666
Pa 0.000 0.000 0.000
Pa 0.500 0.500 0.500
S 0.304 0.304 0.336
S 0.696 0.696 0.336
S 0.196 0.804 0.836
S 0.804 0.196 0.836
S 0.196 0.804 0.164
S 0.804 0.196 0.164
S 0.304 0.304 0.664
S 0.696 0.696 0.664
S 0.297 0.297 0.000
S 0.703 0.703 0.000
S 0.203 0.797 0.500
S 0.797 0.203 0.500

Values from the calculation:
size of the total moment: 0.00 μB per formula unit
symmetry: P4_2/mnm, No. 136
formation energy from raw total energies: -1600 meV/atom
D(E_F): 0.5770 states/eV/atom

(7)
Material: TmPaS6
Method: DFT, PBE
State: relaxed

Cell: 7.412 7.412 7.412 Å, 60.00 60.00 60.00°
Element x y z (fractional)
Tm 0.000 0.000 0.000
Pa 0.500 0.500 0.500
S 0.747 0.747 0.253
S 0.747 0.253 0.253
S 0.253 0.747 0.747
S 0.253 0.253 0.747
S 0.253 0.747 0.253
S 0.747 0.253 0.747

Values from the calculation:
size of the total moment: 0.00 μB per formula unit
symmetry: Fm-3m, No. 225
formation energy from raw total energies: -692 meV/atom
D(E_F): 0.8853 states/eV/atom

(8)
Material: Tm3Pa2S8
Method: DFT, PBE
State: relaxed

Cell: 6.553 7.780 7.983 Å, 119.16 106.93 90.00°
Last column: magnetic moment on the atom in μB.
Element x y z (fractional)
Tm 0.500 0.000 0.000  0.09
Tm 0.000 0.260 0.000  0.04
Tm 0.000 0.740 0.000  0.04
Pa 0.335 0.261 0.521  1.28
Pa 0.665 0.739 0.479  1.28
S 0.900 0.613 0.225  -0.02
S 0.100 0.387 0.775  -0.02
S 0.924 0.115 0.231  -0.01
S 0.076 0.885 0.769  -0.01
S 0.585 0.644 0.754  -0.02
S 0.585 0.110 0.754  -0.02
S 0.415 0.890 0.246  -0.02
S 0.415 0.356 0.246  -0.02

Values from the calculation:
size of the total moment: 3.00 μB per formula unit
symmetry: C2/m, No. 12
formation energy from raw total energies: -1768 meV/atom
D(E_F): 1.0734 states/eV/atom